# 1
Compound: ScReHPt2
Source: Alexandria
Functional: PBE
Structure: relaxed

Results
The total energy comes out at -6.68 eV/atom.

Cell lengths 4.915, 4.915, 3.447 Å; angles 90.00, 90.00, 90.00 degrees
Element x y z (fractional)
Sc: 0.000 0.000 0.000
Re: 0.500 0.500 0.500
H: 0.500 0.500 0.000
Pt: 0.000 0.500 0.500
Pt: 0.500 0.000 0.500

# 2
Compound: ReHPtSe2
Source: Alexandria
Functional: PBE
Structure: relaxed

Results
The total energy comes out at -5.10 eV/atom.

Cell lengths 4.492, 4.492, 3.478 Å; angles 90.00, 90.00, 90.00 degrees
Element x y z (fractional)
Re: 0.000 0.000 0.000
H: 0.000 0.000 0.500
Pt: 0.500 0.500 0.000
Se: 0.000 0.500 0.500
Se: 0.500 0.000 0.500

# 3
Compound: TaRe2HPt
Source: Alexandria
Functional: PBE
Structure: relaxed

Results
For the offset from the most stable computed form, the calculation gives 0.0 meV/atom.

Cell lengths 3.971, 3.971, 4.097 Å; angles 90.00, 90.00, 90.00 degrees
Element x y z (fractional)
Ta: 0.000 0.000 0.000
Re: 0.000 0.500 0.500
Re: 0.500 0.000 0.500
H: 0.000 0.000 0.500
Pt: 0.500 0.500 0.000

# 4
Compound: TaRe2HPt
Source: Alexandria
Functional: PBE
Structure: relaxed

Results
For the offset from the most stable computed form, the calculation gives 51.2 meV/atom.

Cell lengths 3.999, 3.999, 4.054 Å; angles 90.00, 90.00, 90.00 degrees
Element x y z (fractional)
Ta: 0.000 0.000 0.000
Re: 0.000 0.500 0.500
Re: 0.500 0.000 0.500
H: 0.500 0.500 0.500
Pt: 0.500 0.500 0.000

# 5
Compound: Re2TcHPt
Source: Alexandria
Functional: PBE
Structure: relaxed

Results
The total energy comes out at -8.91 eV/atom.

Cell lengths 3.946, 3.946, 3.948 Å; angles 90.00, 90.00, 90.00 degrees
Element x y z (fractional)
Re: 0.000 0.500 0.000
Re: 0.500 0.000 0.000
Tc: 0.000 0.000 0.500
H: 0.000 0.000 0.000
Pt: 0.500 0.500 0.500

# 6
Compound: VRe2HPt
Source: Alexandria
Functional: PBE
Structure: relaxed

Results
The total energy comes out at -8.80 eV/atom.

Cell lengths 3.915, 3.915, 3.940 Å; angles 90.00, 90.00, 90.00 degrees
Element x y z (fractional)
V: 0.000 0.000 0.000
Re: 0.000 0.500 0.500
Re: 0.500 0.000 0.500
H: 0.000 0.000 0.500
Pt: 0.500 0.500 0.000

# 7
Compound: V2ReHPt
Source: Alexandria
Functional: PBE
Structure: relaxed

Results
For the offset from the most stable computed form, the calculation gives 0.0 meV/atom.

Cell lengths 3.904, 3.904, 3.791 Å; angles 90.00, 90.00, 90.00 degrees
Element x y z (fractional)
V: 0.000 0.500 0.000
V: 0.500 0.000 0.000
Re: 0.000 0.000 0.500
H: 0.000 0.000 0.000
Pt: 0.500 0.500 0.500

# 8
Compound: V2ReHPt
Source: Alexandria
Functional: PBE
Structure: relaxed

Results
For the offset from the most stable computed form, the calculation gives 54.4 meV/atom.

Cell lengths 3.974, 3.974, 3.738 Å; angles 90.00, 90.00, 90.00 degrees
Element x y z (fractional)
V: 0.000 0.500 0.000
V: 0.500 0.000 0.000
Re: 0.000 0.000 0.500
H: 0.500 0.500 0.000
Pt: 0.500 0.500 0.500

# 9
Compound: ReHPtW2
Source: Alexandria
Functional: PBE
Structure: relaxed

Results
The total energy comes out at -9.55 eV/atom.

Cell lengths 4.021, 4.021, 3.964 Å; angles 90.00, 90.00, 90.00 degrees
Element x y z (fractional)
Re: 0.000 0.000 0.000
H: 0.000 0.000 0.500
Pt: 0.500 0.500 0.000
W: 0.000 0.500 0.500
W: 0.500 0.000 0.500

# 10
Compound: Y2ReHPt
Source: Alexandria
Functional: PBE
Structure: relaxed

Results
The total energy comes out at -7.39 eV/atom.

Cell lengths 4.902, 4.902, 3.591 Å; angles 90.00, 90.00, 90.00 degrees
Element x y z (fractional)
Y: 0.000 0.500 0.000
Y: 0.500 0.000 0.000
Re: 0.000 0.000 0.500
H: 0.000 0.000 0.000
Pt: 0.500 0.500 0.500

# 11
Compound: Zr2ReHPt
Source: Alexandria
Functional: PBE
Structure: relaxed

Results
For the offset from the most stable computed form, the calculation gives 21.5 meV/atom.

Cell lengths 4.599, 4.599, 3.603 Å; angles 90.00, 90.00, 90.00 degrees
Element x y z (fractional)
Zr: 0.000 0.500 0.000
Zr: 0.500 0.000 0.000
Re: 0.000 0.000 0.500
H: 0.500 0.500 0.000
Pt: 0.500 0.500 0.500

# 12
Compound: Zr2ReHPt
Source: Alexandria
Functional: PBE
Structure: relaxed

Results
For the offset from the most stable computed form, the calculation gives 0.0 meV/atom.

Cell lengths 4.538, 4.538, 3.695 Å; angles 90.00, 90.00, 90.00 degrees
Element x y z (fractional)
Zr: 0.000 0.500 0.000
Zr: 0.500 0.000 0.000
Re: 0.000 0.000 0.500
H: 0.000 0.000 0.000
Pt: 0.500 0.500 0.500

# 13
Compound: H8PtRh2
Source: Alexandria
Functional: PBE
Structure: relaxed

Results
The total energy comes out at -4.24 eV/atom.

Cell lengths 4.701, 4.701, 4.175 Å; angles 107.69, 107.69, 74.12 degrees
Element x y z (fractional)
H: 0.080 0.080 0.207
H: 0.135 0.518 0.214
H: 0.346 0.346 0.716
H: 0.482 0.865 0.786
H: 0.518 0.135 0.214
H: 0.654 0.654 0.284
H: 0.865 0.482 0.786
H: 0.920 0.920 0.793
Pt: 0.500 0.500 0.500
Rh: 0.161 0.161 0.861
Rh: 0.839 0.839 0.139

# 14
Compound: HPtRh
Source: Alexandria
Functional: PBE
Structure: relaxed

Results
The total energy comes out at -5.49 eV/atom.

Cell lengths 2.795, 2.795, 4.857 Å; angles 90.00, 90.00, 120.00 degrees
Element x y z (fractional)
H: 0.000 0.000 0.000
Pt: 0.333 0.667 0.654
Rh: 0.667 0.333 0.177

# 15
Compound: H2PtRh2
Source: Alexandria
Functional: PBE
Structure: relaxed

Results
For the offset from the most stable computed form, the calculation gives 38.0 meV/atom.

Cell lengths 5.235, 5.235, 3.916 Å; angles 90.00, 90.00, 90.00 degrees
Element x y z (fractional)
H: 0.191 0.309 0.000
H: 0.309 0.809 0.000
H: 0.691 0.191 0.000
H: 0.809 0.691 0.000
Pt: 0.000 0.000 0.000
Pt: 0.500 0.500 0.000
Rh: 0.187 0.313 0.500
Rh: 0.313 0.813 0.500
Rh: 0.687 0.187 0.500
Rh: 0.813 0.687 0.500

# 16
Compound: H12Pt3Rh5
Source: Alexandria
Functional: PBE
Structure: relaxed

Results
The total energy comes out at -4.60 eV/atom.

Cell lengths 9.442, 9.442, 9.442 Å; angles 109.47, 109.47, 109.47 degrees
Element x y z (fractional)
H: 0.050 0.225 0.123
H: 0.050 0.326 0.927
H: 0.073 0.623 0.399
H: 0.073 0.950 0.674
H: 0.101 0.725 0.674
H: 0.101 0.877 0.427
H: 0.123 0.050 0.225
H: 0.123 0.573 0.899
H: 0.174 0.225 0.601
H: 0.174 0.450 0.573
H: 0.225 0.123 0.050
H: 0.225 0.601 0.174
H: 0.275 0.326 0.899
H: 0.275 0.450 0.377
H: 0.326 0.899 0.275
H: 0.326 0.927 0.050
H: 0.377 0.275 0.450
H: 0.377 0.601 0.927
H: 0.399 0.073 0.623
H: 0.399 0.826 0.775
H: 0.427 0.101 0.877
H: 0.427 0.826 0.550
H: 0.450 0.377 0.275
H: 0.450 0.573 0.174
H: 0.550 0.427 0.826
H: 0.550 0.623 0.725
H: 0.573 0.174 0.450
H: 0.573 0.899 0.123
H: 0.601 0.174 0.225
H: 0.601 0.927 0.377
H: 0.623 0.399 0.073
H: 0.623 0.725 0.550
H: 0.674 0.073 0.950
H: 0.674 0.101 0.725
H: 0.725 0.550 0.623
H: 0.725 0.674 0.101
H: 0.775 0.399 0.826
H: 0.775 0.877 0.950
H: 0.826 0.550 0.427
H: 0.826 0.775 0.399
H: 0.877 0.427 0.101
H: 0.877 0.950 0.775
H: 0.899 0.123 0.573
H: 0.899 0.275 0.326
H: 0.927 0.050 0.326
H: 0.927 0.377 0.601
H: 0.950 0.674 0.073
H: 0.950 0.775 0.877
Pt: 0.125 0.250 0.375
Pt: 0.125 0.375 0.750
Pt: 0.250 0.375 0.125
Pt: 0.250 0.875 0.625
Pt: 0.375 0.125 0.250
Pt: 0.375 0.750 0.125
Pt: 0.625 0.250 0.875
Pt: 0.625 0.875 0.750
Pt: 0.750 0.125 0.375
Pt: 0.750 0.625 0.875
Pt: 0.875 0.625 0.250
Pt: 0.875 0.750 0.625
Rh: 0.000 0.000 0.000
Rh: 0.000 0.000 0.500
Rh: 0.000 0.500 0.000
Rh: 0.000 0.500 0.500
Rh: 0.125 0.750 0.875
Rh: 0.125 0.875 0.250
Rh: 0.250 0.125 0.875
Rh: 0.250 0.625 0.375
Rh: 0.375 0.250 0.625
Rh: 0.375 0.625 0.750
Rh: 0.500 0.000 0.000
Rh: 0.500 0.000 0.500
Rh: 0.500 0.500 0.000
Rh: 0.500 0.500 0.500
Rh: 0.625 0.375 0.250
Rh: 0.625 0.750 0.375
Rh: 0.750 0.375 0.625
Rh: 0.750 0.875 0.125
Rh: 0.875 0.125 0.750
Rh: 0.875 0.250 0.125

# 17
Compound: HPt4Rh2
Source: Alexandria
Functional: PBE
Structure: relaxed

Results
The total energy comes out at -5.81 eV/atom.

Cell lengths 5.451, 5.457, 7.220 Å; angles 90.01, 90.11, 100.40 degrees
Element x y z (fractional)
H: 0.206 0.205 0.000
H: 0.794 0.795 0.000
Pt: 0.206 0.205 0.248
Pt: 0.206 0.205 0.752
Pt: 0.265 0.734 0.228
Pt: 0.266 0.734 0.772
Pt: 0.734 0.266 0.228
Pt: 0.735 0.266 0.772
Pt: 0.794 0.795 0.248
Pt: 0.794 0.795 0.752
Rh: 0.000 0.500 0.500
Rh: 0.500 0.000 0.500
Rh: 0.500 0.500 0.000
Rh: 0.500 0.500 0.500

# 18
Compound: HPt2Rh
Source: Alexandria
Functional: PBE
Structure: relaxed

Results
For the offset from the most stable computed form, the calculation gives 197.1 meV/atom.

Cell lengths 8.173, 8.173, 8.173 Å; angles 19.15, 19.15, 19.15 degrees
Element x y z (fractional)
H: 0.000 0.000 0.000
Pt: 0.391 0.391 0.391
Pt: 0.609 0.609 0.609
Rh: 0.500 0.500 0.500

# 19
Compound: HPtRh3
Source: Alexandria
Functional: PBE
Structure: relaxed

Results
For the offset from the most stable computed form, the calculation gives 1930.0 meV/atom.

Cell lengths 4.843, 4.843, 4.843 Å; angles 90.00, 90.00, 90.00 degrees
Element x y z (fractional)
H: 0.000 0.000 0.000
Pt: 0.500 0.500 0.500
Rh: 0.000 0.500 0.500
Rh: 0.500 0.000 0.500
Rh: 0.500 0.500 0.000

# 20
Compound: HPt2Rh
Source: Alexandria
Functional: PBE
Structure: relaxed

Results
For the offset from the most stable computed form, the calculation gives 0.0 meV/atom.

Cell lengths 2.760, 2.760, 8.077 Å; angles 104.84, 104.84, 59.52 degrees
Element x y z (fractional)
H: 0.000 0.000 0.000
Pt: 0.108 0.108 0.225
Pt: 0.405 0.405 0.826
Rh: 0.590 0.590 0.525

# 21
Compound: HPt4Rh
Source: Alexandria
Functional: PBE
Structure: relaxed

Results
The total energy comes out at -5.62 eV/atom.

Cell lengths 9.431, 9.431, 4.729 Å; angles 104.47, 104.47, 27.39 degrees
Element x y z (fractional)
H: 0.000 0.000 0.000
H: 0.500 0.500 0.500
Pt: 0.092 0.092 0.003
Pt: 0.168 0.168 0.584
Pt: 0.332 0.332 0.747
Pt: 0.408 0.408 0.318
Pt: 0.592 0.592 0.682
Pt: 0.668 0.668 0.253
Pt: 0.832 0.832 0.416
Pt: 0.908 0.908 0.997
Rh: 0.250 0.250 0.170
Rh: 0.750 0.750 0.830

# 22
Compound: H2PtRh2
Source: Alexandria
Functional: PBE
Structure: relaxed

Results
For the offset from the most stable computed form, the calculation gives 0.0 meV/atom.

Cell lengths 4.859, 4.859, 4.859 Å; angles 138.50, 138.50, 60.14 degrees
Element x y z (fractional)
H: 0.250 0.750 0.500
H: 0.750 0.250 0.500
Pt: 0.000 0.000 0.000
Rh: 0.338 0.338 0.000
Rh: 0.662 0.662 0.000

# 23
Compound: HPt2Rh
Source: Alexandria
Functional: PBE
Structure: relaxed

Results
For the offset from the most stable computed form, the calculation gives 521.5 meV/atom.

Cell lengths 4.244, 4.244, 4.244 Å; angles 60.00, 60.00, 60.00 degrees
Element x y z (fractional)
H: 0.000 0.000 0.000
Pt: 0.250 0.250 0.250
Pt: 0.750 0.750 0.750
Rh: 0.500 0.500 0.500